Entry 1:
Material: SmDy3Sn3
Method: DFT, GGA-PBE
State: relaxed

Its density is 8.36 g/cm³. As for the crystal system: hexagonal. Its total moment is 0.00 μB/cell. The value obtained for the energy of formation is -0.54 eV/atom.

a = 9.1877 Å, b = 9.1877 Å, c = 5.3992 Å
α = 90.00°, β = 90.00°, γ = 120.00°
With the nearest neighbours (Å) after each atom.
Atoms (fractional coordinates):
Sm: 0.3333 0.6667 0.2500  9 Sn 3.34-3.49, 3 Dy 3.56
Sm: 0.6667 0.3333 0.7500  9 Sn 3.34-3.49, 3 Dy 3.56
Dy: 0.0034 0.7642 0.2500  4 Sn 3.03-3.26
Dy: 0.2358 0.2392 0.2500  4 Sn 3.03-3.26
Dy: 0.2392 0.0034 0.7500  4 Sn 3.03-3.26
Dy: 0.7608 0.9966 0.2500  4 Sn 3.03-3.26
Dy: 0.7642 0.7608 0.7500  4 Sn 3.03-3.26
Dy: 0.9966 0.2358 0.7500  4 Sn 3.03-3.26
Sn: 0.0744 0.6232 0.7500  4 Dy 3.03-3.26, 1 Sm 3.34, 2 Sn 3.34
Sn: 0.3768 0.4512 0.7500  4 Dy 3.03-3.26, 1 Sm 3.34, 2 Sn 3.34
Sn: 0.4512 0.0744 0.2500  4 Dy 3.03-3.26, 1 Sm 3.34, 2 Sn 3.34
Sn: 0.5488 0.9256 0.7500  4 Dy 3.03-3.26, 1 Sm 3.34, 2 Sn 3.34
Sn: 0.6232 0.5488 0.2500  4 Dy 3.03-3.26, 1 Sm 3.34, 2 Sn 3.34
Sn: 0.9256 0.3768 0.2500  4 Dy 3.03-3.26, 1 Sm 3.34, 2 Sn 3.34

***

Entry 2:
Material: Sm2Dy3Sn2
Method: DFT, GGA-PBE
State: relaxed

Its density is 8.04 g/cm³. As for the crystal system: monoclinic. Its total moment is 0.46 μB/cell. The value obtained for the energy of formation is -0.28 eV/atom.

a = 8.5250 Å, b = 8.5250 Å, c = 8.0120 Å
α = 115.22°, β = 115.22°, γ = 23.82°
With the nearest neighbours (Å) after each atom.
Atoms (fractional coordinates):
Sm: 0.1192 0.1192 0.4743  4 Sn 3.27-3.50, 4 Dy 3.44-3.63, 2 Sm 3.52
Sm: 0.8808 0.8808 0.5257  4 Sn 3.27-3.50, 4 Dy 3.44-3.63, 2 Sm 3.52
Dy: 0.0000 0.0000 0.0000  4 Sn 3.20, 4 Dy 3.22-3.52, 2 Sm 3.44
Dy: 0.2128 0.2128 0.1419  5 Dy 3.22-3.52, 3 Sn 3.24-3.33, 2 Sm 3.59
Dy: 0.7872 0.7872 0.8581  5 Dy 3.22-3.52, 3 Sn 3.24-3.33, 2 Sm 3.59
Sn: 0.4211 0.4211 0.2274  5 Dy 3.20-3.33, 4 Sm 3.27-3.50, 2 Sn 3.52
Sn: 0.5789 0.5789 0.7726  5 Dy 3.20-3.33, 4 Sm 3.27-3.50, 2 Sn 3.52

***

Entry 3:
Material: Sm2DySn2
Method: DFT, GGA-PBE
State: relaxed

Its density is 7.70 g/cm³. As for the crystal system: orthorhombic. Its total moment is 0.00 μB/cell. The value obtained for the energy of formation is -0.63 eV/atom. As for the polymorph energy (0 for the lowest one): 72 meV per atom.

a = 9.5193 Å, b = 9.5193 Å, c = 6.5373 Å
α = 90.00°, β = 90.00°, γ = 149.32°
With the nearest neighbours (Å) after each atom.
Atoms (fractional coordinates):
Sm: 0.9998 0.0002 0.0000  2 Sm 3.27, 4 Sn 3.30-3.31, 4 Dy 3.55-3.56
Sm: 0.0002 0.9998 0.5000  2 Sm 3.27, 4 Sn 3.30-3.31, 4 Dy 3.55-3.56
Sm: 0.1921 0.8079 0.7508  6 Sn 3.27-3.31
Sm: 0.8079 0.1921 0.2508  6 Sn 3.27-3.31
Dy: 0.3963 0.6037 0.7497  5 Sn 2.99-3.31
Dy: 0.6037 0.3963 0.2497  5 Sn 2.99-3.31
Sn: 0.1916 0.8084 0.2508  2 Dy 2.99, 4 Sm 3.27-3.30
Sn: 0.4246 0.5754 0.2499  3 Dy 3.29-3.31, 6 Sm 3.30-3.31
Sn: 0.5754 0.4246 0.7499  3 Dy 3.29-3.31, 6 Sm 3.30-3.31
Sn: 0.8084 0.1916 0.7508  2 Dy 2.99, 4 Sm 3.27-3.30